[1]
Compound: RbRhN3
Source: the Alexandria database
Functional: PBE
Structure: relaxed

Cell and atoms, written as POSCAR:
```
RbRhN3
1.0
4.1886 0.0000 0.0000
0.0000 4.1886 0.0000
0.0000 0.0000 4.1886
Rb Rh N
1 1 3
direct
0.0000 0.0000 0.0000
0.5000 0.5000 0.5000
0.0000 0.0000 0.5000
0.0000 0.5000 0.0000
0.5000 0.0000 0.0000
```

## Properties
Electronic total energy = -2.87 eV per atom
Magnetization = 0.000 μB/cell
Formation energy from raw total energies = 3.79 eV per atom
SG = Pm-3m

=====

[2]
Compound: SrAc14Pm
Source: the Alexandria database
Functional: PBE
Structure: relaxed

Cell and atoms, written as POSCAR:
```
SrAc14Pm
1.0
11.2569 0.0000 0.0000
0.0000 5.6462 5.6461
0.0000 -5.6462 5.6461
Sr Ac Pm
1 14 1
direct
0.0000 0.0000 0.0000
0.0000 0.5008 0.9995
0.0000 0.9995 0.5008
0.2493 0.2551 0.2551
0.2500 0.2548 0.7455
0.2500 0.7455 0.2548
0.2507 0.7452 0.7452
0.5000 0.0002 0.0002
0.5000 0.0007 0.4995
0.5000 0.4995 0.0007
0.5000 0.4999 0.4999
0.7493 0.7452 0.7452
0.7500 0.2548 0.7455
0.7500 0.7455 0.2548
0.7507 0.2551 0.2551
0.0000 0.5004 0.5004
```

## Properties
Electronic total energy = -3.97 eV per atom
Magnetization = 0.000 μB/cell
SG = Amm2
Formation energy from the elements = 2.8 kJ per mole of atoms

=====

[3]
Compound: Rb2CuGeI6
Source: the Alexandria database
Functional: PBE
Structure: relaxed

Cell and atoms, written as POSCAR:
```
Rb2CuGeI6
1.0
-4.0644 4.0644 5.7791
4.0644 -4.0644 5.7791
4.0644 4.0644 -5.7791
Rb Cu Ge I
2 1 1 6
direct
0.2500 0.7500 0.5000
0.7500 0.2500 0.5000
0.0000 0.0000 0.0000
0.5000 0.5000 0.0000
0.2454 0.2454 0.4908
0.2454 0.7546 0.0000
0.2467 0.2467 0.0000
0.7533 0.7533 0.0000
0.7546 0.2454 0.0000
0.7546 0.7546 0.5092
```

## Properties
Electronic total energy = -2.67 eV per atom
Magnetization = 0.000 μB/cell
Formation energy from raw total energies = -0.68 eV per atom
SG = I4/mmm

=====

[4]
Compound: Mg8Ga2Pb
Source: the Alexandria database
Functional: PBE
Structure: relaxed

Cell and atoms, written as POSCAR:
```
Mg8Ga2Pb
1.0
8.2968 -2.2050 0.0000
8.2968 2.2050 0.0000
-2.6881 0.0000 6.7189
Mg Ga Pb
8 2 1
direct
0.0357 0.0357 0.2397
0.1832 0.1832 0.7797
0.3228 0.3228 0.5645
0.4035 0.4035 0.0214
0.5965 0.5965 0.9786
0.6772 0.6772 0.4355
0.8168 0.8168 0.2203
0.9643 0.9643 0.7603
0.1956 0.1956 0.1839
0.8044 0.8044 0.8161
0.5000 0.5000 0.5000
```

## Properties
Electronic total energy = -2.12 eV per atom
Magnetization = 0.000 μB/cell
SG = C2/m
Formation energy from the elements = -7.2 kJ per mole of atoms